Entry 1:
Computed, not measured: crystalline Ac2HoGeO6 at its relaxed geometry at the PBE level of DFT.

a = 5.9529 Å, b = 6.0199 Å, c = 6.0185 Å
α = 58.90°, β = 60.06°, γ = 89.46°
Sites, in units of the cell vectors:
O  0.3613  0.2564  0.8948
Ho  0.0000  0.0000  0.0000
O  0.8031  0.3164  0.0036
O  0.8030  0.8061  0.5137
Ac  0.7653  0.2479  0.4824
O  0.1970  0.1939  0.4863
O  0.1969  0.6836  0.9964
Ac  0.2347  0.7521  0.5176
O  0.6387  0.7436  0.1053
Ge  0.5000  0.5000  0.0000

Computed properties:
Space-group type ... P-1 (2)
E_form (uncorrected) ... -28.01 eV per formula unit

Entry 2:
Computed, not measured: crystalline AcHoGePb at its relaxed geometry at the PBE level of DFT.

a = 5.5037 Å, b = 5.5037 Å, c = 5.5037 Å
α = 60.00°, β = 60.00°, γ = 60.00°
Sites, in units of the cell vectors:
Ho  0.0000  0.0000  0.0000
Pb  0.2500  0.2500  0.2500
Ge  0.7500  0.7500  0.7500
Ac  0.5000  0.5000  0.5000

Computed properties:
ΔH_f (0 K) ... -0.39 eV per atom
Space-group type ... F-43m (216)

Entry 3:
Computed, not measured: crystalline Ac2HoGe4Pd3 at its relaxed geometry at the PBE level of DFT.

a = 4.4267 Å, b = 4.4267 Å, c = 11.4335 Å
α = 90.00°, β = 90.00°, γ = 90.00°
Sites, in units of the cell vectors:
Pd  0.0000  0.5000  0.1167
Ge  0.5000  0.5000  0.0000
Pd  0.5000  0.0000  0.8833
Ge  0.5000  0.0000  0.6584
Ac  0.0000  0.5000  0.7702
Ho  0.5000  0.5000  0.5000
Pd  0.0000  0.0000  0.5000
Ge  0.0000  0.0000  0.0000
Ge  0.0000  0.5000  0.3416
Ac  0.5000  0.0000  0.2298

Computed properties:
ΔH_f (0 K) ... -0.82 eV per atom
Space-group type ... P-4m2 (115)

Entry 4:
Computed, not measured: crystalline Ac2HoGe3Pd12 at its relaxed geometry at the PBE level of DFT.

a = 7.0424 Å, b = 7.0424 Å, c = 7.0424 Å
α = 84.43°, β = 84.43°, γ = 84.43°
Sites, in units of the cell vectors:
Pd  0.6237  0.6237  0.0863
Ac  0.3536  0.3536  0.3536
Ac  0.6464  0.6464  0.6464
Pd  0.0863  0.6237  0.6237
Pd  0.6237  0.0863  0.6237
Pd  0.3763  0.9137  0.3763
Pd  0.8149  0.3111  0.8149
Pd  0.9137  0.3763  0.3763
Pd  0.6889  0.1851  0.1851
Pd  0.1851  0.1851  0.6889
Pd  0.1851  0.6889  0.1851
Pd  0.3111  0.8149  0.8149
Ge  0.0000  0.0000  0.5000
Ho  0.0000  0.0000  0.0000
Pd  0.8149  0.8149  0.3111
Pd  0.3763  0.3763  0.9137
Ge  0.5000  0.0000  0.0000
Ge  0.0000  0.5000  0.0000

Computed properties:
ΔH_f (0 K) ... -0.49 eV per atom
Space-group type ... R-3m (166)

Entry 5:
Computed, not measured: crystalline AcHoGePd at its relaxed geometry at the PBE level of DFT.

a = 5.2441 Å, b = 5.2441 Å, c = 5.2441 Å
α = 60.00°, β = 60.00°, γ = 60.00°
Sites, in units of the cell vectors:
Pd  0.7500  0.7500  0.7500
Ac  0.5000  0.5000  0.5000
Ho  0.0000  0.0000  0.0000
Ge  0.2500  0.2500  0.2500

Computed properties:
ΔH_f (0 K) ... -0.67 eV per atom
Space-group type ... F-43m (216)

Entry 6:
Computed, not measured: crystalline AcHoGe2Pd2 at its relaxed geometry at the PBE level of DFT.

a = 4.5052 Å, b = 4.5052 Å, c = 7.5594 Å
α = 90.00°, β = 90.00°, γ = 120.00°
Sites, in units of the cell vectors:
Pd  0.6667  0.3333  0.3068
Ge  0.3333  0.6667  0.2853
Ac  0.0000  0.0000  0.0000
Ge  0.6667  0.3333  0.7147
Ho  0.0000  0.0000  0.5000
Pd  0.3333  0.6667  0.6932

Computed properties:
ΔH_f (0 K) ... -0.93 eV per atom
Space-group type ... P-3m1 (164)

| no. | total DFT energy (no corrections) (eV per atom) |
| --- | --- |
| 1 | -7.517 |
| 2 | -4.647 |
| 3 | -5.503 |
| 4 | -5.432 |
| 5 | -5.298 |
| 6 | -5.644 |